Entry 1:
# Er2HI | Alexandria | PBE | optimized geometry
data_Er2HI
_cell_length_a 3.7106
_cell_length_b 3.7106
_cell_length_c 22.5459
_cell_angle_alpha 90.00
_cell_angle_beta 90.00
_cell_angle_gamma 120.00
_symmetry_space_group_name_H-M 'R -3 m'
_symmetry_Int_Tables_number 166
_symmetry_space_group_name_Hall '-R 3 2"'
loop_
_atom_site_label
_atom_site_fract_x
_atom_site_fract_y
_atom_site_fract_z
Er1 0.0000 0.0000 0.2231
H1 0.0000 0.0000 0.5000
I1 0.0000 0.0000 0.0000
# Total energy ... -3.9937 eV per atom

Entry 2:
# Er2HI3 | Alexandria | PBE | optimized geometry
data_Er2HI3
_cell_length_a 19.453
_cell_length_b 3.955
_cell_length_c 12.014
_cell_angle_alpha 90.00
_cell_angle_beta 123.56
_cell_angle_gamma 90.00
_symmetry_space_group_name_H-M 'C 1 2/m 1'
_symmetry_Int_Tables_number 12
loop_
_symmetry_equiv_pos_as_xyz
'x,y,z'
'-x,-y,-z'
'-x,y,-z'
'x,-y,z'
'x+1/2,y+1/2,z'
'-x+1/2,-y+1/2,-z'
'-x+1/2,y+1/2,-z'
'x+1/2,-y+1/2,z'
loop_
_atom_site_label
_atom_site_fract_x
_atom_site_fract_y
_atom_site_fract_z
Er1 0.067 0.000 0.465
Er2 0.131 0.500 0.782
H1 0.075 0.000 0.661
I1 0.036 0.500 0.245
I2 0.168 0.000 0.007
I3 0.210 0.500 0.619
# Total energy ... -3.8545 eV per atom

Entry 3:
# Rb2ErHI6 | Alexandria | PBE | optimized geometry
data_Rb2ErHI6
_cell_length_a 7.644
_cell_length_b 8.586
_cell_length_c 8.719
_cell_angle_alpha 115.73
_cell_angle_beta 101.54
_cell_angle_gamma 107.82
_symmetry_space_group_name_H-M 'P -1'
_symmetry_Int_Tables_number 2
loop_
_symmetry_equiv_pos_as_xyz
'x,y,z'
'-x,-y,-z'
loop_
_atom_site_label
_atom_site_fract_x
_atom_site_fract_y
_atom_site_fract_z
Rb1 0.163 0.230 0.414
Er1 0.000 0.500 0.000
H1 0.500 0.000 0.000
I1 0.223 0.281 0.859
I2 0.250 0.881 0.014
I3 0.264 0.666 0.393
# Total energy ... -3.0271 eV per atom

Entry 4:
# Er2H2SeI | Alexandria | PBE | optimized geometry
data_Er2H2SeI
_cell_length_a 3.8064
_cell_length_b 3.8064
_cell_length_c 8.7861
_cell_angle_alpha 90.00
_cell_angle_beta 90.00
_cell_angle_gamma 120.00
_symmetry_space_group_name_H-M 'P -3 m 1'
_symmetry_Int_Tables_number 164
_symmetry_space_group_name_Hall '-P 3 2"'
loop_
_atom_site_label
_atom_site_fract_x
_atom_site_fract_y
_atom_site_fract_z
Er1 0.3333 0.6667 0.2096
H1 0.3333 0.6667 0.7574
Se1 0.0000 0.0000 0.0000
I1 0.0000 0.0000 0.5000
# Total energy ... -4.5349 eV per atom

Entry 5:
# Er5In4H | Alexandria | PBE | optimized geometry
data_Er5In4H
_cell_length_a 9.955
_cell_length_b 9.955
_cell_length_c 4.874
_cell_angle_alpha 90.00
_cell_angle_beta 90.00
_cell_angle_gamma 90.00
_symmetry_space_group_name_H-M 'I 4/m m m'
_symmetry_Int_Tables_number 139
_symmetry_space_group_name_Hall '-I 4 2'
loop_
_atom_site_label
_atom_site_fract_x
_atom_site_fract_y
_atom_site_fract_z
Er1 0.000 0.000 0.000
Er2 0.169 0.169 0.500
In1 0.000 0.325 0.000
H1 0.000 0.000 0.500
# Total energy ... -3.9818 eV per atom

Entry 6:
# Er3InH | Alexandria | PBE | optimized geometry
data_Er3InH
_cell_length_a 4.796
_cell_length_b 4.796
_cell_length_c 4.796
_cell_angle_alpha 90.00
_cell_angle_beta 90.00
_cell_angle_gamma 90.00
_symmetry_space_group_name_H-M 'P m -3 m'
_symmetry_Int_Tables_number 221
_symmetry_space_group_name_Hall '-P 4 2 3'
loop_
_atom_site_label
_atom_site_fract_x
_atom_site_fract_y
_atom_site_fract_z
Er1 0.000 0.000 0.500
In1 0.500 0.500 0.500
H1 0.000 0.000 0.000
# ΔE to the lowest computed polymorph ... 0.05 eV per formula unit

Entry 7:
# Er4In2H | Alexandria | PBE | optimized geometry
data_Er4In2H
_cell_length_a 4.556
_cell_length_b 4.556
_cell_length_c 16.612
_cell_angle_alpha 90.00
_cell_angle_beta 90.00
_cell_angle_gamma 90.00
_symmetry_space_group_name_H-M 'I 4/m m m'
_symmetry_Int_Tables_number 139
_symmetry_space_group_name_Hall '-I 4 2'
loop_
_atom_site_label
_atom_site_fract_x
_atom_site_fract_y
_atom_site_fract_z
Er1 0.000 0.000 0.176
Er2 0.000 0.500 0.000
In1 0.000 0.000 0.364
H1 0.000 0.000 0.000
# ΔE to the lowest computed polymorph ... 0.31 eV per formula unit

Entry 8:
# Er4In2H | Alexandria | PBE | optimized geometry
data_Er4In2H
_cell_length_a 5.964
_cell_length_b 6.676
_cell_length_c 8.929
_cell_angle_alpha 90.00
_cell_angle_beta 104.52
_cell_angle_gamma 90.00
_symmetry_space_group_name_H-M 'P 1 21/m 1'
_symmetry_Int_Tables_number 11
loop_
_symmetry_equiv_pos_as_xyz
'x,y,z'
'-x,-y,-z'
'-x,y+1/2,-z'
'x,-y+1/2,z'
loop_
_atom_site_label
_atom_site_fract_x
_atom_site_fract_y
_atom_site_fract_z
Er1 0.179 0.250 0.066
Er2 0.267 0.750 0.375
Er3 0.273 0.501 0.732
In1 0.214 0.250 0.420
In2 0.347 0.750 0.042
H1 0.078 0.250 0.799
# ΔE to the lowest computed polymorph ... 0.00 eV per formula unit